# 1
Zr5In2Ga2 | Alexandria | PBE-GGA | optimized geometry; space-group type = Cmce (64); volume = 21.87 Å³ per atom; formation energy from the elements = -35.8 kJ per mole of atoms
1.0
1.828 4.988 5.129
-3.465 -3.979 5.104
7.058 -1.136 3.905
Zr In Ga
10 4 4
Direct
0.000 0.000 0.000 Zr
0.500 0.500 0.000 Zr
0.440 0.183 0.750 Zr
0.810 0.817 0.750 Zr
0.310 0.683 0.750 Zr
0.940 0.317 0.750 Zr
0.560 0.817 0.250 Zr
0.190 0.183 0.250 Zr
0.690 0.317 0.250 Zr
0.060 0.683 0.250 Zr
0.220 0.000 0.559 In
0.720 0.500 0.559 In
0.780 0.000 0.441 In
0.280 0.500 0.441 In
0.120 0.378 0.000 Ga
0.880 0.622 0.000 Ga
0.380 0.878 0.000 Ga
0.620 0.122 0.000 Ga

=====

# 2
ZrInGa | Alexandria | PBE-GGA | optimized geometry; space-group type = Cmcm (63); volume = 20.84 Å³ per atom; formation energy from the elements = -34.4 kJ per mole of atoms
1.0
3.947 0.000 0.000
0.000 4.110 -1.070
0.000 -0.176 7.751
Zr In Ga
2 2 2
Direct
0.250 0.084 0.168 Zr
0.750 0.916 0.832 Zr
0.250 0.744 0.489 In
0.750 0.256 0.511 In
0.250 0.438 0.876 Ga
0.750 0.562 0.124 Ga